DFT (PBE with a Hubbard U) results for a relaxed structure of NaCaMn2F6.

a = 5.874 Å, b = 5.875 Å, c = 5.917 Å
α = 60.23°, β = 60.24°, γ = 59.99°
Each line ends with the local moment (μB).
Fractional coordinates of all 10 atoms:
F 0.401 0.696 0.763  0.03
F 0.141 0.401 0.763  0.03
F 0.883 0.647 0.229  0.03
F 0.696 0.141 0.763  0.03
F 0.647 0.241 0.229  0.03
F 0.241 0.883 0.229  0.03
Mn 0.035 0.035 0.895  4.65
Mn 0.520 0.520 0.441  4.71
Na 0.804 0.804 0.588  0.00
Ca 0.295 0.295 0.115  -0.01

Results
raw total energy	-0.4159	Ry per atom
density of states at the Fermi level	0.14	states/eV per atom
magnetic moment	0.995	μB/atom